A:
VASP calculation (PBE) on ZnOsCl after structural relaxation.

Lattice parameters (Å, degrees): 2.969 2.969 6.170 90.00 90.00 120.00
Element x y z (fractional)
Zn 0.000 0.000 0.000
Os 0.333 0.667 0.681
Cl 0.667 0.333 0.322

Values from the calculation:
Volume (Å³/cell): 47.1
Density (Mg/m³): 10.3
Total moment (μB/atom): 0.38

***

B:
VASP calculation (PBE) on ZnOsCl after structural relaxation.

Lattice parameters (Å, degrees): 4.327 4.327 2.842 90.00 90.00 120.00
Element x y z (fractional)
Zn 0.000 0.000 0.000
Os 0.333 0.667 0.500
Cl 0.667 0.333 0.500

Values from the calculation:
Volume (Å³/cell): 46.1
Density (Mg/m³): 10.5
Total moment (μB/atom): 0.00

***

C:
VASP calculation (PBE) on ZnOsCl after structural relaxation.

Lattice parameters (Å, degrees): 6.988 6.622 3.000 84.19 70.52 25.29
Element x y z (fractional)
Zn 0.000 0.000 0.000
Os 0.336 0.336 0.664
Cl 0.680 0.680 0.320

Values from the calculation:
Volume (Å³/cell): 48.5
Density (Mg/m³): 10.0
Total moment (μB/atom): 0.00

***

Most stable to least stable: A, C, B

***

A:
VASP calculation (PBE) on ZnOs2Cl after structural relaxation.

Lattice parameters (Å, degrees): 4.422 4.422 4.422 60.00 60.00 60.00
Element x y z (fractional)
Zn 0.000 0.000 0.000
Os 0.250 0.250 0.250
Os 0.500 0.500 0.500
Cl 0.750 0.750 0.750

Values from the calculation:
Volume (Å³/cell): 61.1
Density (Mg/m³): 13.1
Total moment (μB/atom): 0.00

***

B:
VASP calculation (PBE) on ZnOs2Cl after structural relaxation.

Lattice parameters (Å, degrees): 6.168 6.168 6.168 124.60 124.60 82.21
Element x y z (fractional)
Zn 0.000 0.000 0.000
Zn 0.750 0.250 0.500
Os 0.166 0.625 0.041
Os 0.375 0.416 0.541
Os 0.584 0.125 0.959
Os 0.875 0.834 0.459
Cl 0.250 0.750 0.500
Cl 0.500 0.500 0.000

Values from the calculation:
Volume (Å³/cell): 152.9
Density (Mg/m³): 10.5
Total moment (μB/atom): 0.00

***

C:
VASP calculation (PBE) on ZnOs2Cl after structural relaxation.

Lattice parameters (Å, degrees): 4.389 4.389 2.971 90.00 90.00 90.00
Element x y z (fractional)
Zn 0.000 0.000 0.000
Os 0.000 0.500 0.500
Os 0.500 0.000 0.500
Cl 0.500 0.500 0.000

Values from the calculation:
Volume (Å³/cell): 57.2
Density (Mg/m³): 14.0
Total moment (μB/atom): 0.00

***

D:
VASP calculation (PBE) on ZnOs2Cl after structural relaxation.

Lattice parameters (Å, degrees): 4.253 4.253 7.673 116.49 116.49 39.02
Element x y z (fractional)
Zn 0.000 0.000 0.000
Os 0.194 0.194 0.780
Os 0.396 0.396 0.630
Cl 0.731 0.731 0.318

Values from the calculation:
Volume (Å³/cell): 77.0
Density (Mg/m³): 10.4
Total moment (μB/atom): 0.00

***

Most stable to least stable: D, A, C, B